32
Lattice="18.224 0.000 -1.772 3.582 5.691 -3.833 -3.582 5.691 3.833" Properties=species:S:1:pos:R:3 comment="MnBeSe2 | Alexandria | PBE | relaxed" e_tot_ev_per_atom=-5.277 space_group="C2/c, No. 15" pbc="T T T"
Se 4.542 7.786 -0.154
Se 4.570 2.095 -0.732
Mn 2.573 1.130 0.155
Mn 10.598 2.793 0.658
Mn 7.627 8.590 -2.430
Se 8.485 2.521 -0.374
Se 2.715 5.127 -2.292
Se 15.459 6.629 -3.246
Se 6.347 4.734 -2.360
Mn 16.739 8.484 -3.316
Se 11.877 6.648 0.588
Se 0.627 8.212 -0.512
Mn 1.485 2.898 1.544
Be 8.989 6.821 -1.414
Mn 6.539 6.821 -1.041
Be 13.875 7.800 0.599
Se 8.245 6.256 0.656
Mn 15.651 10.253 -1.927
Be 0.123 1.130 0.528
Se 13.654 9.288 -1.040
Mn 11.685 4.562 -0.731
Se 17.597 3.170 -1.260
Se 15.510 6.256 0.520
Se 13.682 3.597 -1.618
Se 2.765 4.753 1.474
Be 9.879 7.800 0.577
Be 9.235 4.561 -0.358
Se 9.980 5.127 -2.428
Be 4.349 3.583 -2.370
Be 18.101 10.253 -2.300
Be 8.346 3.583 -2.349
Se 9.740 8.861 -1.398